# GePb2Cl2, relaxed, DFT PBE
# formation energy from raw total energies	-0.99	eV per formula unit
# ΔE to the lowest computed polymorph	0	meV per atom
# size of the total moment	0.00	μB per cell
data_GePb2Cl2
_chemical_formula_sum 'Ge2 Pb4 Cl4'
_cell_length_a 8.9915
_cell_length_b 8.9915
_cell_length_c 3.3573
_cell_angle_alpha 90.00
_cell_angle_beta 90.00
_cell_angle_gamma 90.00
_symmetry_space_group_name_H-M 'P 4/m b m'
_symmetry_Int_Tables_number 127
_symmetry_space_group_name_Hall '-P 4 2ab'
loop_
_atom_site_label
_atom_site_type_symbol
_atom_site_fract_x
_atom_site_fract_y
_atom_site_fract_z
Ge1 Ge 0.0000 0.0000 0.0000
Pb1 Pb 0.1933 0.3067 0.5000
Cl1 Cl 0.1208 0.6208 0.0000


# GePb2Cl2, relaxed, DFT PBE
# formation energy from raw total energies	-0.71	eV per formula unit
# ΔE to the lowest computed polymorph	56	meV per atom
# size of the total moment	0.00	μB per cell
data_GePb2Cl2
_chemical_formula_sum 'Ge2 Pb4 Cl4'
_cell_length_a 5.8822
_cell_length_b 5.8822
_cell_length_c 8.3594
_cell_angle_alpha 90.00
_cell_angle_beta 90.00
_cell_angle_gamma 90.00
_symmetry_space_group_name_H-M 'I 4/m m m'
_symmetry_Int_Tables_number 139
_symmetry_space_group_name_Hall '-I 4 2'
loop_
_atom_site_label
_atom_site_type_symbol
_atom_site_fract_x
_atom_site_fract_y
_atom_site_fract_z
Ge1 Ge 0.0000 0.0000 0.0000
Pb1 Pb 0.0000 0.5000 0.2500
Cl1 Cl 0.0000 0.0000 0.3232